Below is a geometry-optimized Li3CuSn3S8 structure, with properties calculated at the PBE-GGA level.

Properties
size of the total moment = 0.71 μB per formula unit
SG = C2/m (12)
uncorrected energy = -4.2296 eV/atom
density of states at the Fermi level = 6.99 states/eV/cell
formation energy without anion corrections = -13.2 kcal/mol of atoms

```
data_Li3CuSn3S8
_cell_length_a 7.3875
_cell_length_b 7.3821
_cell_length_c 7.5715
_cell_angle_alpha 119.21
_cell_angle_beta 90.00
_cell_angle_gamma 120.02
_symmetry_space_group_name_H-M 'P 1'
_symmetry_Int_Tables_number 1
loop_
_symmetry_equiv_pos_as_xyz
'x,y,z'
loop_
_atom_site_label
_atom_site_fract_x
_atom_site_fract_y
_atom_site_fract_z
_atom_site_occupancy
S1 0.2459 0.0077 0.2698 1
Sn1 0.0000 0.5000 0.5000 1
Li1 0.0000 0.0000 0.0000 1
S2 0.7517 0.5034 0.7548 1
S3 0.7632 0.5263 0.2710 1
S4 0.2368 0.4737 0.7290 1
S5 0.7618 0.0077 0.2698 1
Cu1 0.0000 0.0000 0.5000 1
Sn2 0.5000 0.5000 0.5000 1
S6 0.2382 0.9923 0.7302 1
S7 0.7541 0.9923 0.7302 1
S8 0.2483 0.4966 0.2452 1
Li2 0.0000 0.5000 0.0000 1
Sn3 0.5000 0.0000 0.5000 1
Li3 0.5000 0.5000 0.0000 1
```


Below is a geometry-optimized Li2CuTcS structure, with properties calculated at the PBE-GGA level.

Properties
size of the total moment = 0.65 μB per formula unit
SG = P4/mmm (123)
uncorrected energy = -3.8885 eV/atom
density of states at the Fermi level = 3.39 states/eV/cell
formation energy without anion corrections = 13.7 kcal/mol of atoms

```
data_Li2CuTcS
_cell_length_a 4.9239
_cell_length_b 4.3287
_cell_length_c 4.9239
_cell_angle_alpha 90.00
_cell_angle_beta 90.00
_cell_angle_gamma 90.00
_symmetry_space_group_name_H-M 'P 1'
_symmetry_Int_Tables_number 1
loop_
_symmetry_equiv_pos_as_xyz
'x,y,z'
loop_
_atom_site_label
_atom_site_fract_x
_atom_site_fract_y
_atom_site_fract_z
_atom_site_occupancy
S1 0.0000 0.5000 0.0000 1
Cu1 0.5000 0.5000 0.5000 1
Tc1 0.0000 0.0000 0.0000 1
Li1 0.5000 0.0000 0.0000 1
Li2 0.0000 0.0000 0.5000 1
```


Below is a geometry-optimized Li3CuTe3S8 structure, with properties calculated at the PBE-GGA level.

Properties
size of the total moment = 0.00 μB per formula unit
SG = C2/m (12)
uncorrected energy = -3.7688 eV/atom
density of states at the Fermi level = 5.94 states/eV/cell
formation energy without anion corrections = -6.5 kcal/mol of atoms

```
data_Li3CuTe3S8
_cell_length_a 7.3305
_cell_length_b 8.3590
_cell_length_c 7.2581
_cell_angle_alpha 120.46
_cell_angle_beta 90.00
_cell_angle_gamma 116.01
_symmetry_space_group_name_H-M 'P 1'
_symmetry_Int_Tables_number 1
loop_
_symmetry_equiv_pos_as_xyz
'x,y,z'
loop_
_atom_site_label
_atom_site_fract_x
_atom_site_fract_y
_atom_site_fract_z
_atom_site_occupancy
Te1 0.5000 0.5000 0.5000 1
S1 0.2942 0.5884 0.8044 1
S2 0.2512 0.0656 0.3179 1
Cu1 0.0000 0.0000 0.5000 1
S3 0.7488 0.9344 0.6821 1
Li1 0.5000 0.5000 0.0000 1
Te2 0.5000 0.0000 0.5000 1
S4 0.8144 0.0656 0.3179 1
S5 0.7058 0.4116 0.1956 1
Li2 0.0000 0.0000 0.0000 1
Te3 0.0000 0.5000 0.5000 1
S6 0.2117 0.4233 0.1991 1
S7 0.7883 0.5767 0.8009 1
Li3 0.0000 0.5000 0.0000 1
S8 0.1856 0.9344 0.6821 1
```


Below is a geometry-optimized Li2CuTeS4 structure, with properties calculated at the PBE-GGA level.

Properties
size of the total moment = 0.64 μB per formula unit
SG = Imma (74)
uncorrected energy = -3.8958 eV/atom
density of states at the Fermi level = 5.43 states/eV/cell
formation energy without anion corrections = -10.4 kcal/mol of atoms

```
data_Li2CuTeS4
_cell_length_a 7.6056
_cell_length_b 7.6056
_cell_length_c 7.1397
_cell_angle_alpha 117.99
_cell_angle_beta 117.99
_cell_angle_gamma 94.59
_symmetry_space_group_name_H-M 'P 1'
_symmetry_Int_Tables_number 1
loop_
_symmetry_equiv_pos_as_xyz
'x,y,z'
loop_
_atom_site_label
_atom_site_fract_x
_atom_site_fract_y
_atom_site_fract_z
_atom_site_occupancy
S1 0.2192 0.7004 0.4598 1
Te1 0.5000 0.5000 0.5000 1
S2 0.7219 0.7781 0.0106 1
S3 0.2781 0.2219 0.9894 1
Li1 0.0000 0.0000 0.5000 1
S4 0.7808 0.2996 0.5402 1
Cu1 0.0000 0.5000 0.5000 1
S5 0.2781 0.2219 0.5106 1
Cu2 0.0000 0.5000 0.0000 1
S6 0.7996 0.2808 0.0402 1
Te2 0.0000 0.0000 0.0000 1
S7 0.7219 0.7781 0.4894 1
Li2 0.5000 0.5000 0.0000 1
Li3 0.5000 0.0000 0.0000 1
Li4 0.5000 0.0000 0.5000 1
S8 0.2004 0.7192 0.9598 1
```